No. 1
A plane-wave DFT calculation with PBE was carried out for crystalline VS2Br at its relaxed geometry.

For the total magnetization, the calculation gives 0.0 Bohr magnetons per cell. The calculation puts the uncorrected formation energy at -0.565 eV/atom. For the raw total energy, the calculation gives -5.326 eV/atom. The value obtained for the energy above the most stable polymorph in this dataset is 0.0000 eV per atom.

It has space group Pm (No. 6), with a = 5.863 Å, b = 3.296 Å, c = 6.538 Å, α = 90.00°, β = 109.03° and γ = 90.00°. The distinct sites, in fractional coordinates, are V at (0.000, 0.000, 0.000), S at (0.323, 0.000, 0.243), S at (0.780, 0.500, 0.077) and Br at (0.068, 0.500, 0.727).


No. 2
A plane-wave DFT calculation with PBE was carried out for crystalline H2RuW at its relaxed geometry.

For the total magnetization, the calculation gives 0.0 Bohr magnetons per cell. For the raw total energy, the calculation gives -6.361 eV/atom. The value obtained for the energy above the most stable polymorph in this dataset is 0.6574 eV per atom.

It has space group Fm-3m (No. 225), with a = 5.292 Å, b = 5.292 Å, c = 5.292 Å, α = 90.00°, β = 90.00° and γ = 90.00°. The distinct sites, in fractional coordinates, are H at (0.250, 0.250, 0.250), Ru at (0.000, 0.000, 0.000) and W at (0.000, 0.000, 0.500).


No. 3
A plane-wave DFT calculation with PBE was carried out for crystalline Ni2Os at its relaxed geometry.

For the total magnetization, the calculation gives 0.0 Bohr magnetons per cell. Its energy relative to the elements is 0.099 eV/atom. For the raw total energy, the calculation gives -7.498 eV/atom. The value obtained for the energy above the most stable polymorph in this dataset is 0.0354 eV per atom.

It has space group Cmcm (No. 63), with a = 7.703 Å, b = 4.434 Å, c = 4.236 Å, α = 90.00°, β = 90.00° and γ = 90.00°. The distinct sites, in fractional coordinates, are Ni at (0.168, 0.160, 0.250) and Os at (0.000, 0.339, 0.750).